Record 1
A geometry-optimized CoGeAsBr2 structure. Source: Alexandria via LeMat-Bulk, functional PBE.

Results
Excess energy over the best structure of this formula in the dataset = 0 meV/atom
DOS(E_F) = 4.73 states/eV/f.u.
ΔE_f (raw) = 381 meV per atom
Crystal system = tetragonal

a b c (Å): 4.9426 4.9426 4.5809
angles (deg): 90.00 90.00 90.00
Space group P4/mmm (No. 123)
Asymmetric unit:
Co 0.0000 0.0000 0.0000 (multiplicity 1)
Ge 0.5000 0.5000 0.5000 (multiplicity 1)
As 0.0000 0.0000 0.5000 (multiplicity 1)
Br 0.0000 0.5000 0.0000 (multiplicity 2)

Record 2
A geometry-optimized CoAsHBr2 structure. Source: Alexandria via LeMat-Bulk, functional PBE.

Results
Excess energy over the best structure of this formula in the dataset = 0 meV/atom
DOS(E_F) = 5.57 states/eV/f.u.
Crystal system = tetragonal

a b c (Å): 5.1081 5.1081 4.3781
angles (deg): 90.00 90.00 90.00
Space group P4/mmm (No. 123)
Asymmetric unit:
Co 0.0000 0.0000 0.0000 (multiplicity 1)
As 0.0000 0.0000 0.5000 (multiplicity 1)
H 0.5000 0.5000 0.5000 (multiplicity 1)
Br 0.0000 0.5000 0.0000 (multiplicity 2)

Record 3
A geometry-optimized CoAs2HBr structure. Source: Alexandria via LeMat-Bulk, functional PBE.

Results
Excess energy over the best structure of this formula in the dataset = 0 meV/atom
DOS(E_F) = 3.36 states/eV/f.u.
Crystal system = tetragonal

a b c (Å): 4.4523 4.4523 5.3779
angles (deg): 90.00 90.00 90.00
Space group P4/mmm (No. 123)
Asymmetric unit:
Co 0.0000 0.0000 0.0000 (multiplicity 1)
As 0.0000 0.5000 0.0000 (multiplicity 2)
H 0.5000 0.5000 0.5000 (multiplicity 1)
Br 0.0000 0.0000 0.5000 (multiplicity 1)

Record 4
A geometry-optimized CoAs2HBr structure. Source: Alexandria via LeMat-Bulk, functional PBE.

Results
Excess energy over the best structure of this formula in the dataset = 64 meV/atom
DOS(E_F) = 5.92 states/eV/f.u.
Crystal system = tetragonal

a b c (Å): 3.7883 3.7883 6.7826
angles (deg): 90.00 90.00 90.00
Space group P4/mmm (No. 123)
Asymmetric unit:
Co 0.0000 0.0000 0.0000 (multiplicity 1)
As 0.0000 0.5000 0.5000 (multiplicity 2)
H 0.5000 0.5000 0.5000 (multiplicity 1)
Br 0.5000 0.5000 0.0000 (multiplicity 1)